Material: MgTe2Se
Method: DFT, GGA-PBEsol
State: optimized geometry

```
MgTe2Se
1.0
-0.642 -0.861 5.017
-3.588 -3.300 1.598
1.380 -4.507 2.026
Se Te Mg
1 2 1
direct
0.500 0.500 0.500
0.750 0.750 0.750
0.250 0.250 0.250
0.000 0.000 0.000
```

Calculated values
density of states at the Fermi level = 4.4 states/eV/f.u.
symmetry = Fm-3m

***

Material: Mg3TeSe
Method: DFT, GGA-PBEsol
State: optimized geometry

```
Mg3TeSe
1.0
5.134 0.000 0.000
0.000 5.134 0.000
0.000 0.000 5.134
Se Mg Te
1 3 1
direct
0.000 0.000 0.000
0.000 0.500 0.000
0.000 0.000 0.500
0.500 0.000 0.000
0.500 0.500 0.500
```

Calculated values
density of states at the Fermi level = 4.0 states/eV/f.u.
symmetry = Pm-3m

***

Material: Mg2TeSe
Method: DFT, GGA-PBEsol
State: optimized geometry

```
Mg2TeSe
1.0
6.199 0.000 0.000
0.000 6.199 0.000
-3.100 -3.100 6.163
Mg Te Se
4 2 2
direct
0.125 0.152 0.750
0.402 0.875 0.250
0.848 0.375 0.250
0.625 0.598 0.750
0.250 0.750 0.500
0.000 0.000 0.000
0.750 0.250 0.500
0.500 0.500 0.000
```

Calculated values
density of states at the Fermi level = 0.0 states/eV/f.u.
ΔE to the lowest computed polymorph = 6 meV per atom
symmetry = I-42d

***

Material: Mg2TeSe
Method: DFT, GGA-PBEsol
State: optimized geometry

```
Mg2TeSe
1.0
4.036 0.060 0.000
-0.059 4.036 0.000
0.000 0.000 5.690
Se Mg Te
1 2 1
direct
0.625 0.375 0.000
0.626 0.375 0.500
0.124 0.875 0.000
0.126 0.875 0.500
```

Calculated values
ΔE to the lowest computed polymorph = 24 meV per atom
symmetry = Pmm2

***

Material: Mg2TeSe
Method: DFT, GGA-PBEsol
State: optimized geometry

```
Mg2TeSe
1.0
-2.960 2.198 -1.978
-3.882 -3.352 -1.882
-3.670 1.861 3.594
Mg Te Se
2 1 1
direct
0.000 0.500 0.000
0.000 0.000 0.500
0.000 0.000 0.000
0.000 0.500 0.500
```

Calculated values
density of states at the Fermi level = 0.5 states/eV/f.u.
ΔE to the lowest computed polymorph = 404 meV per atom
symmetry = C2/m

***

Material: Mg2TeSe
Method: DFT, GGA-PBEsol
State: optimized geometry

```
Mg2TeSe
1.0
-0.644 3.481 -1.819
-2.903 2.405 1.276
3.229 5.016 4.100
Te Mg Se
1 2 1
direct
0.248 0.248 0.257
0.005 0.005 0.986
0.828 0.828 0.517
0.420 0.420 0.740
```

Calculated values
ΔE to the lowest computed polymorph = 101 meV per atom
symmetry = R3m

***

Material: Mg3TiSe
Method: DFT, GGA-PBEsol
State: optimized geometry

```
Mg3TiSe
1.0
-0.889 0.300 4.909
4.037 -2.806 0.903
2.810 4.125 0.256
Mg Ti Se
3 1 1
direct
0.000 0.000 0.500
0.500 0.000 0.000
0.000 0.500 0.000
0.500 0.500 0.500
0.000 0.000 0.000
```

Calculated values
density of states at the Fermi level = 9.1 states/eV/f.u.
symmetry = Pm-3m

***

Material: MgTi3Se
Method: DFT, GGA-PBEsol
State: optimized geometry

```
MgTi3Se
1.0
-0.757 4.355 -1.502
-2.152 -1.680 -3.787
-4.073 0.079 2.280
Ti Se Mg
3 1 1
direct
0.000 0.500 0.000
0.500 0.000 0.000
0.000 0.000 0.500
0.000 0.000 0.000
0.500 0.500 0.500
```

Calculated values
density of states at the Fermi level = 5.4 states/eV/f.u.
symmetry = Pm-3m

***

Material: Mg2TlSe
Method: DFT, GGA-PBEsol
State: optimized geometry

```
Mg2TlSe
1.0
3.698 0.000 0.000
1.849 3.202 0.000
1.849 1.067 7.730
Tl Mg Se
1 2 1
direct
0.000 0.000 0.000
0.764 0.764 0.709
0.236 0.236 0.291
0.500 0.500 0.500
```

Calculated values
density of states at the Fermi level = 1.3 states/eV/f.u.
ΔE to the lowest computed polymorph = 0 meV per atom
symmetry = R-3m

***

Material: MgTlSe
Method: DFT, GGA-PBEsol
State: optimized geometry

```
MgTlSe
1.0
-4.606 -0.739 1.620
-1.165 -4.217 2.290
-0.943 0.002 4.847
Mg Se Tl
1 1 1
direct
0.500 0.500 0.500
0.250 0.250 0.250
0.000 0.000 0.000
```

Calculated values
density of states at the Fermi level = 1.1 states/eV/f.u.
ΔE to the lowest computed polymorph = 0 meV per atom
symmetry = F-43m

***

Material: Mg2TlSe
Method: DFT, GGA-PBEsol
State: optimized geometry

```
Mg2TlSe
1.0
4.598 0.000 0.000
0.000 4.598 0.000
-2.299 -2.299 4.240
Mg Tl Se
2 1 1
direct
0.250 0.750 0.500
0.750 0.250 0.500
0.500 0.500 0.000
0.000 0.000 0.000
```

Calculated values
density of states at the Fermi level = 1.7 states/eV/f.u.
ΔE to the lowest computed polymorph = 323 meV per atom
symmetry = I4/mmm

***

Material: MgTlSe2
Method: DFT, GGA-PBEsol
State: optimized geometry

```
MgTlSe2
1.0
-1.456 2.843 -1.884
0.894 -1.772 -3.365
-5.426 -4.559 0.965
Se Tl Mg
2 1 1
direct
0.267 0.626 0.533
0.054 0.125 0.108
0.471 0.624 0.941
0.709 0.125 0.418
```

Calculated values
density of states at the Fermi level = 1.5 states/eV/f.u.
symmetry = Amm2

***

| no. | total magnetic moment (μB per cell) | total DFT energy (no corrections) (eV/atom) | raw formation energy (eV/atom) |
| --- | --- | --- | --- |
| 1 | 0.001 | -3.099 | 0.056 |
| 2 | 0.001 | -2.757 | -0.252 |
| 3 | 0.000 | -3.711 | -1.009 |
| 4 | 0.000 | -3.693 | -0.991 |
| 5 | 0.000 | -3.314 | -0.611 |
| 6 | 0.000 | -3.616 | -0.914 |
| 7 | 2.552 | -3.068 | 0.397 |
| 8 | 0.002 | -6.111 | -0.004 |
| 9 | 0.000 | -3.046 | -0.567 |
| 10 | 0.000 | -2.949 | -0.217 |
| 11 | 0.000 | -2.722 | -0.243 |
| 12 | 0.000 | -3.586 | -0.574 |